[1]
# RbCu3H

A crystal of RbCu3H relaxed with PBEsol (meta-GGA SCAN, the Alexandria database).

Size of the total moment   0.0 μB/cell
E   -12.98 eV/atom

abc: 4.2302 4.2302 4.2302
angles: 90.00 90.00 90.00
With the nearest neighbours (Å) after each atom.
Sites, in units of the cell vectors:
H (0.0000, 0.0000, 0.0000)  6 Cu 2.12
Cu (0.0000, 0.5000, 0.0000)  2 H 2.12
Cu (0.0000, 0.0000, 0.5000)  2 H 2.12
Cu (0.5000, 0.0000, 0.0000)  2 H 2.12
Rb (0.5000, 0.5000, 0.5000)  12 Cu 2.99

---

[2]
# RbCuSb2H

A crystal of RbCuSb2H relaxed with PBEsol (meta-GGA SCAN, the Alexandria database).

Size of the total moment   0.0 μB/cell
E   -22.26 eV/atom

abc: 4.6524 4.6524 4.9288
angles: 90.00 90.00 90.00
With the nearest neighbours (Å) after each atom.
Sites, in units of the cell vectors:
Sb (0.0000, 0.5000, 0.0000)  2 H 2.33
Sb (0.5000, 0.0000, 0.0000)  2 H 2.33
Cu (0.5000, 0.5000, 0.5000)  4 Rb 3.29, 8 Sb 3.39
Rb (0.0000, 0.0000, 0.5000)  2 H 2.46
H (0.0000, 0.0000, 0.0000)  4 Sb 2.33, 2 Rb 2.46

---

[3]
# RbCu2SbH

A crystal of RbCu2SbH relaxed with PBEsol (meta-GGA SCAN, the Alexandria database).

Size of the total moment   0.0 μB/cell
E   -17.62 eV/atom

abc: 4.4185 4.4185 4.6643
angles: 90.00 90.00 90.00
With the nearest neighbours (Å) after each atom.
Sites, in units of the cell vectors:
Sb (0.5000, 0.5000, 0.5000)  4 Rb 3.12, 8 Cu 3.21
Cu (0.0000, 0.5000, 0.0000)  2 H 2.21
Cu (0.5000, 0.0000, 0.0000)  2 H 2.21
Rb (0.0000, 0.0000, 0.5000)  2 H 2.33
H (0.0000, 0.0000, 0.0000)  4 Cu 2.21, 2 Rb 2.33

---

[4]
# CuReH2

A crystal of CuReH2 relaxed with PBEsol (meta-GGA SCAN, the Alexandria database).

Size of the total moment   0.0 μB/cell
E   -22.83 eV/atom

abc: 4.2418 4.7418 4.2418
angles: 63.43 90.00 116.57
With the nearest neighbours (Å) after each atom.
Sites, in units of the cell vectors:
Re (0.7500, 0.5000, 0.7500)  4 H 1.80
Re (0.0000, 0.0000, 0.0000)  4 H 1.80
Cu (0.2500, 0.5000, 0.2500)  4 H 1.72
Cu (0.5000, 0.0000, 0.5000)  4 H 1.72
H (0.1419, 0.7500, 0.8750)  2 Cu 1.72, 2 Re 1.80
H (0.6081, 0.7500, 0.3750)  2 Cu 1.72, 2 Re 1.80
H (0.3750, 0.2500, 0.1419)  2 Cu 1.72, 2 Re 1.80
H (0.8750, 0.2500, 0.6081)  2 Cu 1.72, 2 Re 1.80

---

[5]
# Cu2ReTeH

A crystal of Cu2ReTeH relaxed with PBEsol (meta-GGA SCAN, the Alexandria database).

Size of the total moment   4.0 μB/cell
E   -26.48 eV/atom

abc: 4.7556 4.7556 5.1066
angles: 90.00 90.00 90.00
With the nearest neighbours (Å) after each atom.
Sites, in units of the cell vectors:
Re (0.0000, 0.0000, 0.5000)  2 Te 2.55
Te (0.0000, 0.0000, 0.0000)  4 Cu 2.38, 2 Re 2.55
Cu (0.0000, 0.5000, 0.0000)  2 Te 2.38
Cu (0.5000, 0.0000, 0.0000)  2 Te 2.38
H (0.5000, 0.5000, 0.5000)  4 Re 3.36, 8 Cu 3.49

---

[6]
# CuH3Rh

A crystal of CuH3Rh relaxed with PBEsol (meta-GGA SCAN, the Alexandria database).

Size of the total moment   0.0 μB/cell
E   -11.76 eV/atom

abc: 3.3447 3.3447 3.3447
angles: 90.00 90.00 90.00
With the nearest neighbours (Å) after each atom.
Sites, in units of the cell vectors:
H (0.0000, 0.5000, 0.0000)  2 Rh 1.67
H (0.0000, 0.0000, 0.5000)  2 Rh 1.67
H (0.5000, 0.0000, 0.0000)  2 Rh 1.67
Rh (0.0000, 0.0000, 0.0000)  6 H 1.67
Cu (0.5000, 0.5000, 0.5000)  12 H 2.37